[1]
AcLa2NdSm (GGA-PBE, optimized geometry); energy relative to the elements = 331 meV/atom; total magnetic moment = 0.00 Bohr magnetons per cell; calculated density = 6.77 g/cm3; crystal system = orthorhombic
1.0
-4.0755 -5.0376 1.4946
4.2842 -4.3196 -2.8771
1.9584 1.1181 9.1086
Sm La Ac Nd
2 4 2 2
direct
0.2500 0.2282 0.4563 Sm
0.7500 0.7718 0.5437 Sm
0.5000 0.7600 0.0000 La
0.0000 0.7600 0.0000 La
0.5000 0.2400 0.0000 La
0.0000 0.2400 0.0000 La
0.7500 0.3429 0.6857 Ac
0.2500 0.6571 0.3143 Ac
0.7500 0.1538 0.3076 Nd
0.2500 0.8462 0.6924 Nd

[2]
Ac6La3NdSm2 (GGA-PBE, optimized geometry); energy relative to the elements = 26 meV/atom; total magnetic moment = 0.00 Bohr magnetons per cell; calculated density = 7.67 g/cm3; crystal system = monoclinic
1.0
-6.2514 2.0866 -1.2423
1.4025 -6.5578 0.0682
-0.9198 1.0783 12.4845
La Ac Sm Nd
3 6 2 1
direct
0.5000 0.5000 0.5000 La
0.1669 0.8331 0.5000 La
0.8331 0.1669 0.5000 La
0.2516 0.2516 0.7539 Ac
0.5841 0.9179 0.7541 Ac
0.0821 0.4159 0.2459 Ac
0.4159 0.0821 0.2459 Ac
0.7484 0.7484 0.2461 Ac
0.9179 0.5841 0.7541 Ac
0.6666 0.3334 0.0000 Sm
0.3334 0.6666 0.0000 Sm
0.0000 0.0000 0.0000 Nd

[3]
Ac4LaNd2Sm (GGA-PBE, optimized geometry); energy relative to the elements = 110 meV/atom; total magnetic moment = 0.00 Bohr magnetons per cell; calculated density = 7.74 g/cm3; crystal system = orthorhombic
1.0
-0.8903 5.0251 4.5644
-4.3810 6.2255 -2.5731
-3.8984 -2.1132 6.7012
Ac Nd Sm La
4 2 1 1
direct
0.1245 0.8759 0.3733 Ac
0.3737 0.1241 0.6267 Ac
0.8755 0.6267 0.1241 Ac
0.6263 0.3733 0.8759 Ac
0.2514 0.2486 0.2486 Nd
0.7486 0.7514 0.7514 Nd
0.0000 0.0000 0.0000 Sm
0.5000 0.5000 0.5000 La